(1)
Density functional theory data (PBE) for a relaxed structure of Ac4GeI5.

Structure (POSCAR):
```
Ac4GeI5
1.0
-3.3143 -3.1405 0.2229
-0.1980 -0.4710 -9.5779
8.6097 -5.5899 2.3815
I Ac Ge
5 4 1
direct
0.8316 0.6626 0.6632
0.5000 0.5000 0.0000
0.1711 0.8232 0.3423
0.1684 0.3374 0.3368
0.8289 0.1768 0.6577
0.9997 0.7816 0.9995
0.6515 0.0750 0.3031
0.0003 0.2184 0.0005
0.3485 0.9250 0.6969
0.5000 0.0000 0.0000
```

**DOS(E_F)**: 4.600 states/eV/cell
**Total magnetic moment**: 0.00 μB/atom
**E_form (uncorrected)**: -1.27 eV per atom

***

(2)
Density functional theory data (PBE) for a relaxed structure of Ac2GeI2.

Structure (POSCAR):
```
Ac2GeI2
1.0
-0.9834 4.3064 0.6918
-4.5424 -4.2434 5.5093
8.4807 0.7238 7.5498
Ge I Ac
2 4 4
direct
0.3418 0.6835 0.4781
0.6582 0.3165 0.9781
0.6331 0.2662 0.3348
0.0996 0.1993 0.6278
0.9004 0.8007 0.1278
0.3669 0.7338 0.8348
0.0414 0.0827 0.9040
0.2347 0.4694 0.1406
0.7653 0.5306 0.6406
0.9586 0.9173 0.4040
```

**DOS(E_F)**: 4.391 states/eV/cell
**Total magnetic moment**: 0.00 μB/atom
**E_form (uncorrected)**: -0.97 eV per atom
**Offset from the most stable computed form**: 0.276 eV per atom

***

(3)
Density functional theory data (PBE) for a relaxed structure of Ac4Ge2I5.

Structure (POSCAR):
```
Ac4Ge2I5
1.0
4.9276 -0.2875 -1.0680
-1.1605 9.8904 -2.1609
-0.2549 0.2042 10.4475
Ge I Ac
2 5 4
direct
0.3291 0.5701 0.9793
0.6709 0.4299 0.0207
0.5000 0.0000 0.0000
0.1337 0.3538 0.3522
0.8272 0.1843 0.6624
0.8663 0.6462 0.6478
0.1728 0.8157 0.3376
0.9062 0.7381 0.9987
0.3923 0.4180 0.7081
0.6077 0.5820 0.2919
0.0938 0.2618 0.0013
```

**DOS(E_F)**: 3.225 states/eV/cell
**Total magnetic moment**: 0.00 μB/atom
**E_form (uncorrected)**: -1.12 eV per atom
**Offset from the most stable computed form**: 0.025 eV per atom

***

(4)
Density functional theory data (PBE) for a relaxed structure of AcGeI.

Structure (POSCAR):
```
AcGeI
1.0
4.2095 0.0342 0.4154
0.0010 5.9130 -0.5001
-0.8234 -3.7821 8.6322
Ge Ac I
2 2 2
direct
0.2500 0.6400 0.5177
0.7500 0.3600 0.4823
0.2498 0.9494 0.2709
0.7502 0.0506 0.7291
0.7498 0.7070 0.9409
0.2502 0.2930 0.0591
```

**DOS(E_F)**: 1.711 states/eV/cell
**Total magnetic moment**: 0.00 μB/atom
**E_form (uncorrected)**: -0.82 eV per atom
**Offset from the most stable computed form**: 0.273 eV per atom

***

(5)
Density functional theory data (PBE) for a relaxed structure of AcGeI2.

Structure (POSCAR):
```
AcGeI2
1.0
4.0182 0.0000 0.0000
2.0091 3.4799 0.0000
2.0091 1.1600 10.9861
I Ge Ac
2 1 1
direct
0.0920 0.0920 0.7241
0.9080 0.9080 0.2759
0.0000 0.0000 0.0000
0.5000 0.5000 0.5000
```

**DOS(E_F)**: 1.434 states/eV/cell
**Total magnetic moment**: 0.00 μB/atom
**E_form (uncorrected)**: -0.45 eV per atom

***

(6)
Density functional theory data (PBE) for a relaxed structure of Ac12Ge6I.

Structure (POSCAR):
```
Ac12Ge6I
1.0
9.5577 -0.0999 -0.1408
-2.4660 9.2346 -0.1408
-2.4660 -3.1765 8.6722
Ac I Ge
12 1 6
direct
0.5636 0.8253 0.5636
0.8253 0.5636 0.5636
0.8606 0.5000 0.1394
0.1394 0.5000 0.8606
0.5636 0.5636 0.8253
0.5000 0.8606 0.1394
0.1747 0.4364 0.4364
0.4364 0.1747 0.4364
0.8606 0.1394 0.5000
0.4364 0.4364 0.1747
0.1394 0.8606 0.5000
0.5000 0.1394 0.8606
0.0000 0.0000 0.0000
0.3330 0.7554 0.7554
0.2446 0.6670 0.2446
0.6670 0.2446 0.2446
0.7554 0.3330 0.7554
0.7554 0.7554 0.3330
0.2446 0.2446 0.6670
```

**DOS(E_F)**: 21.449 states/eV/cell
**Total magnetic moment**: 0.00 μB/atom
**E_form (uncorrected)**: -0.39 eV per atom